No. 1
## TlRe (GGA-PBE)

Data for a geometry-optimized TlRe structure.

ΔE to the lowest computed polymorph   0.3433 eV per atom
Density of states at the Fermi level   1.3 states/eV/f.u.
Spin magnetization   0.0 Bohr magnetons per cell
Electronic total energy   -6.580 eV/atom
Theoretical density   15.390 g cm⁻³
DFT formation energy   0.828 eV/atom
Space group   No. 19

a b c (Å): 6.655 6.788 7.463
angles (deg): 90.00 90.00 90.00
Atoms (fractional coordinates):
Tl1 0.080 0.176 0.485
Tl2 0.190 0.576 0.690
Tl3 0.310 0.424 0.190
Tl4 0.420 0.824 0.985
Tl5 0.580 0.324 0.515
Tl6 0.690 0.924 0.310
Tl7 0.810 0.076 0.810
Tl8 0.920 0.676 0.015
Re1 0.079 0.076 0.099
Re2 0.209 0.813 0.330
Re3 0.291 0.187 0.830
Re4 0.421 0.924 0.599
Re5 0.579 0.424 0.901
Re6 0.709 0.687 0.670
Re7 0.791 0.313 0.170
Re8 0.921 0.576 0.401

---

No. 2
## Tl4Re3 (GGA-PBE)

Data for a geometry-optimized Tl4Re3 structure.

ΔE to the lowest computed polymorph   0.0000 eV per atom
Density of states at the Fermi level   5.4 states/eV/f.u.
Spin magnetization   0.4 Bohr magnetons per cell
Electronic total energy   -5.929 eV/atom
Theoretical density   14.914 g cm⁻³
DFT formation energy   0.758 eV/atom
Space group   No. 139

a b c (Å): 16.713 16.713 16.713
angles (deg): 169.56 169.56 14.78
Atoms (fractional coordinates):
Tl1 0.067 0.067 0.000
Tl2 0.341 0.341 0.000
Tl3 0.659 0.659 0.000
Tl4 0.933 0.933 0.000
Re1 0.229 0.229 0.000
Re2 0.500 0.500 0.000
Re3 0.771 0.771 0.000

---

No. 3
## Tl5Re (GGA-PBE)

Data for a geometry-optimized Tl5Re structure.

ΔE to the lowest computed polymorph   0.0977 eV per atom
Density of states at the Fermi level   2.8 states/eV/f.u.
Spin magnetization   0.0 Bohr magnetons per cell
Electronic total energy   -3.460 eV/atom
Theoretical density   11.813 g cm⁻³
DFT formation energy   0.587 eV/atom
Space group   No. 8

a b c (Å): 7.693 7.693 7.807
angles (deg): 106.23 106.23 22.55
Atoms (fractional coordinates):
Tl1 0.000 0.000 0.000
Tl2 0.050 0.050 0.613
Tl3 0.378 0.378 0.271
Tl4 0.704 0.704 0.398
Tl5 0.765 0.765 0.847
Re1 0.385 0.385 0.651

---

No. 4
## TlRe3 (GGA-PBE)

Data for a geometry-optimized TlRe3 structure.

ΔE to the lowest computed polymorph   0.2607 eV per atom
Density of states at the Fermi level   3.2 states/eV/f.u.
Spin magnetization   0.0 Bohr magnetons per cell
Electronic total energy   -9.139 eV/atom
Theoretical density   19.331 g cm⁻³
DFT formation energy   0.789 eV/atom
Space group   No. 63

a b c (Å): 5.782 5.782 4.650
angles (deg): 90.00 90.00 122.51
Atoms (fractional coordinates):
Tl1 0.087 0.913 0.750
Tl2 0.913 0.087 0.250
Re1 0.073 0.415 0.750
Re2 0.415 0.073 0.250
Re3 0.419 0.581 0.250
Re4 0.581 0.419 0.750
Re5 0.585 0.927 0.750
Re6 0.927 0.585 0.250